DFT (PBE) results for a relaxed structure of TcICl.

Unit cell a=7.6392 b=7.6392 c=7.5171 alpha=98.53 beta=98.53 gamma=26.20
Element x y z (fractional)
Tc 0.2285 0.2285 0.3984
Tc 0.7715 0.7715 0.6016
I 0.1363 0.1363 0.7171
I 0.8637 0.8637 0.2829
Cl 0.3815 0.3815 0.7696
Cl 0.6185 0.6185 0.2304

energy = -4.6290 eV per atom
ΔE_f (raw) = -41 meV/atom
relative energy among the computed polymorphs = 124 meV per atom
space group = C2/m (12)

---

DFT (PBE) results for a relaxed structure of Tc2I4Cl3.

Unit cell a=9.1402 b=9.1402 c=10.5589 alpha=113.61 beta=113.61 gamma=68.87
Element x y z (fractional)
Tc 0.0079 0.6417 0.6114
Tc 0.3583 0.9921 0.8886
Tc 0.6417 0.0079 0.1114
Tc 0.9921 0.3583 0.3886
I 0.1626 0.5563 0.4197
I 0.1653 0.2642 0.0066
I 0.2642 0.1653 0.5066
I 0.4437 0.8374 0.0803
I 0.5563 0.1626 0.9197
I 0.7358 0.8347 0.4934
I 0.8347 0.7358 0.9934
I 0.8374 0.4437 0.5803
Cl 0.0905 0.9095 0.7500
Cl 0.2173 0.5408 0.7898
Cl 0.4592 0.7827 0.7102
Cl 0.5408 0.2173 0.2898
Cl 0.7827 0.4592 0.2102
Cl 0.9095 0.0905 0.2500

energy = -3.8054 eV per atom
ΔE_f (raw) = -197 meV/atom
space group = C2/c (15)